The following is a DFT calculation (PBE+U) of ZnW2O4 after structural relaxation.

Lattice parameters (Å, degrees): 6.419 6.419 6.419 143.63 143.63 52.38
Element x y z (fractional)
Zn 0.000 0.000 0.000
W 0.363 0.363 0.000
W 0.637 0.637 0.000
O 0.000 0.500 0.500
O 0.201 0.201 0.000
O 0.500 0.000 0.500
O 0.799 0.799 0.000

Values from the calculation:
SG	I4/mmm, No. 139
energy above the lowest structure with this stoichiometry	938	meV/atom
DOS(E_F)	1.2	states/eV per cell